# TiPbAu2C | Alexandria via LeMat-Bulk | SCAN | single point on PBEsol structure
data_TiPbAu2C
_cell_length_a 4.353
_cell_length_b 4.353
_cell_length_c 4.328
_cell_angle_alpha 90.00
_cell_angle_beta 90.00
_cell_angle_gamma 90.00
_space_group_name_H-M_alt 'P 1'
_space_group_IT_number 1
_space_group_name_Hall 'P 1'
loop_
_atom_site_label
_atom_site_fract_x
_atom_site_fract_y
_atom_site_fract_z
Ti1 0.000 0.000 0.000
Pb1 0.500 0.500 0.000
Au1 0.000 0.500 0.500
Au2 0.500 0.000 0.500
C1 0.000 0.000 0.500
# DFT total energy = -47.83 eV/atom
# Fermi-level density of states = 1.4 states/eV/cell